[1]
This record from Alexandria via LeMat-Bulk describes a relaxed Pm2CuRh crystal. The functional is PBE.

## Properties
Calculated total energy in eV/atom: -5.674
Volume in Å³/cell: 88.7

Cell: 4.982 4.982 3.574 Å, 90.00 90.00 90.00°
Sites, in units of the cell vectors:
Pm (0.000, 0.500, 0.000)
Pm (0.500, 0.000, 0.000)
Cu (0.000, 0.000, 0.500)
Rh (0.500, 0.500, 0.500)

***

[2]
This record from Alexandria via LeMat-Bulk describes a relaxed Pm12Cu2Rh5 crystal. The functional is PBE.

## Properties
Calculated total energy in eV/atom: -5.742
Volume in Å³/cell: 528.7

Cell: 9.060 9.060 9.008 Å, 103.20 103.20 47.59°
Sites, in units of the cell vectors:
Pm (0.001, 0.001, 0.281)
Pm (0.068, 0.585, 0.899)
Pm (0.103, 0.589, 0.432)
Pm (0.411, 0.897, 0.568)
Pm (0.415, 0.932, 0.101)
Pm (0.482, 0.482, 0.195)
Pm (0.518, 0.518, 0.805)
Pm (0.585, 0.068, 0.899)
Pm (0.589, 0.103, 0.432)
Pm (0.897, 0.411, 0.568)
Pm (0.932, 0.415, 0.101)
Pm (0.999, 0.999, 0.719)
Cu (0.176, 0.824, 0.000)
Cu (0.824, 0.176, 0.000)
Rh (0.178, 0.178, 0.835)
Rh (0.196, 0.196, 0.356)
Rh (0.500, 0.500, 0.500)
Rh (0.804, 0.804, 0.644)
Rh (0.822, 0.822, 0.165)

***

[3]
This record from Alexandria via LeMat-Bulk describes a relaxed Pm6CuRh3 crystal. The functional is PBE.

## Properties
Calculated total energy in eV/atom: -5.922
Volume in Å³/cell: 535.5

Cell: 10.802 4.230 12.511 Å, 90.00 110.48 90.00°
Sites, in units of the cell vectors:
Pm (0.027, 0.250, 0.390)
Pm (0.084, 0.250, 0.921)
Pm (0.247, 0.750, 0.310)
Pm (0.332, 0.750, 0.794)
Pm (0.370, 0.750, 0.098)
Pm (0.385, 0.250, 0.568)
Pm (0.615, 0.750, 0.432)
Pm (0.630, 0.250, 0.902)
Pm (0.668, 0.250, 0.206)
Pm (0.753, 0.250, 0.690)
Pm (0.916, 0.750, 0.079)
Pm (0.973, 0.750, 0.610)
Cu (0.430, 0.250, 0.290)
Cu (0.570, 0.750, 0.710)
Rh (0.099, 0.250, 0.173)
Rh (0.192, 0.750, 0.524)
Rh (0.387, 0.250, 0.954)
Rh (0.613, 0.750, 0.046)
Rh (0.808, 0.250, 0.476)
Rh (0.901, 0.750, 0.827)

***

[4]
This record from Alexandria via LeMat-Bulk describes a relaxed Pm3CuRh2 crystal. The functional is PBE.

## Properties
Calculated total energy in eV/atom: -6.025
Volume in Å³/cell: 133.3

Cell: 3.544 3.544 10.615 Å, 90.00 90.00 90.00°
Sites, in units of the cell vectors:
Pm (0.000, 0.000, 0.000)
Pm (0.000, 0.000, 0.326)
Pm (0.000, 0.000, 0.674)
Cu (0.500, 0.500, 0.500)
Rh (0.500, 0.500, 0.167)
Rh (0.500, 0.500, 0.833)

***

[5]
This record from Alexandria via LeMat-Bulk describes a relaxed Pm3Cu3Rh crystal. The functional is PBE.

## Properties
Calculated total energy in eV/atom: -5.144
Volume in Å³/cell: 294.0

Cell: 5.543 5.543 12.616 Å, 90.00 90.00 130.67°
Sites, in units of the cell vectors:
Pm (0.023, 0.977, 0.750)
Pm (0.265, 0.735, 0.099)
Pm (0.265, 0.735, 0.401)
Pm (0.735, 0.265, 0.599)
Pm (0.735, 0.265, 0.901)
Pm (0.977, 0.023, 0.250)
Cu (0.312, 0.688, 0.750)
Cu (0.443, 0.557, 0.589)
Cu (0.443, 0.557, 0.911)
Cu (0.557, 0.443, 0.089)
Cu (0.557, 0.443, 0.411)
Cu (0.688, 0.312, 0.250)
Rh (0.000, 0.000, 0.000)
Rh (0.000, 0.000, 0.500)

***

[6]
This record from Alexandria via LeMat-Bulk describes a relaxed Pm2CuRh crystal. The functional is PBE.

## Properties
Calculated total energy in eV/atom: -5.750
Volume in Å³/cell: 184.7

Cell: 5.696 4.441 7.784 Å, 90.00 110.24 90.00°
Sites, in units of the cell vectors:
Pm (0.219, 0.250, 0.434)
Pm (0.227, 0.250, 0.928)
Pm (0.773, 0.750, 0.072)
Pm (0.781, 0.750, 0.566)
Cu (0.351, 0.750, 0.213)
Cu (0.649, 0.250, 0.787)
Rh (0.343, 0.750, 0.714)
Rh (0.657, 0.250, 0.286)

***

[7]
This record from Alexandria via LeMat-Bulk describes a relaxed Pm2Cu2Rh crystal. The functional is PBE.

## Properties
Calculated total energy in eV/atom: -5.393
Volume in Å³/cell: 213.0

Cell: 5.552 5.552 11.093 Å, 113.03 113.03 43.38°
Sites, in units of the cell vectors:
Pm (0.029, 0.029, 0.347)
Pm (0.199, 0.199, 0.122)
Pm (0.801, 0.801, 0.878)
Pm (0.971, 0.971, 0.653)
Cu (0.365, 0.365, 0.442)
Cu (0.481, 0.481, 0.106)
Cu (0.519, 0.519, 0.894)
Cu (0.635, 0.635, 0.558)
Rh (0.281, 0.281, 0.679)
Rh (0.719, 0.719, 0.321)

***

[8]
This record from Alexandria via LeMat-Bulk describes a relaxed Pm3Cu2Rh crystal. The functional is PBE.

## Properties
Calculated total energy in eV/atom: -5.305
Volume in Å³/cell: 135.0

Cell: 3.560 3.560 10.655 Å, 90.00 90.00 90.00°
Sites, in units of the cell vectors:
Pm (0.000, 0.000, 0.000)
Pm (0.000, 0.000, 0.340)
Pm (0.000, 0.000, 0.660)
Cu (0.500, 0.500, 0.166)
Cu (0.500, 0.500, 0.834)
Rh (0.500, 0.500, 0.500)

***

[9]
This record from Alexandria via LeMat-Bulk describes a relaxed Pm6CuRh2 crystal. The functional is PBE.

## Properties
Calculated total energy in eV/atom: -5.639
Volume in Å³/cell: 486.1

Cell: 8.591 8.591 8.591 Å, 112.68 110.33 105.48°
Sites, in units of the cell vectors:
Pm (0.048, 0.238, 0.810)
Pm (0.175, 0.278, 0.453)
Pm (0.175, 0.722, 0.897)
Pm (0.330, 0.022, 0.693)
Pm (0.330, 0.637, 0.307)
Pm (0.428, 0.238, 0.190)
Pm (0.572, 0.762, 0.810)
Pm (0.670, 0.363, 0.693)
Pm (0.670, 0.978, 0.307)
Pm (0.825, 0.278, 0.103)
Pm (0.825, 0.722, 0.547)
Pm (0.952, 0.762, 0.190)
Cu (0.000, 0.000, 0.000)
Cu (0.500, 0.500, 0.000)
Rh (0.131, 0.631, 0.500)
Rh (0.331, 0.000, 0.331)
Rh (0.669, 0.000, 0.669)
Rh (0.869, 0.369, 0.500)

***

[10]
This record from Alexandria via LeMat-Bulk describes a relaxed Pm2Cu3Rh2 crystal. The functional is PBE.

## Properties
Calculated total energy in eV/atom: -5.579
Volume in Å³/cell: 129.7

Cell: 5.319 5.319 6.516 Å, 103.10 103.10 46.53°
Sites, in units of the cell vectors:
Pm (0.114, 0.114, 0.325)
Pm (0.886, 0.886, 0.675)
Cu (0.214, 0.214, 0.902)
Cu (0.500, 0.500, 0.000)
Cu (0.786, 0.786, 0.098)
Rh (0.397, 0.397, 0.318)
Rh (0.603, 0.603, 0.682)

***

[11]
This record from Alexandria via LeMat-Bulk describes a relaxed Pm8CuRh2 crystal. The functional is PBE.

## Properties
Calculated total energy in eV/atom: -5.382
Volume in Å³/cell: 322.0

Cell: 7.600 7.600 6.337 Å, 100.09 100.09 112.10°
Sites, in units of the cell vectors:
Pm (0.000, 0.000, 0.000)
Pm (0.017, 0.284, 0.583)
Pm (0.156, 0.581, 0.198)
Pm (0.284, 0.017, 0.583)
Pm (0.439, 0.710, 0.819)
Pm (0.581, 0.156, 0.198)
Pm (0.710, 0.439, 0.819)
Pm (0.718, 0.718, 0.386)
Cu (0.357, 0.357, 0.994)
Rh (0.045, 0.676, 0.692)
Rh (0.676, 0.045, 0.692)

***

[12]
This record from Alexandria via LeMat-Bulk describes a relaxed Pm2CuRh crystal. The functional is PBE.

## Properties
Calculated total energy in eV/atom: -5.677
Volume in Å³/cell: 89.0

Cell: 5.012 5.012 5.012 Å, 60.00 60.00 60.00°
Sites, in units of the cell vectors:
Pm (0.250, 0.250, 0.250)
Pm (0.750, 0.750, 0.750)
Cu (0.000, 0.000, 0.000)
Rh (0.500, 0.500, 0.500)

***

| no. | formation energy from the elements (meV per atom) |
| --- | --- |
| 1 | -436 |
| 2 | -376 |
| 3 | -456 |
| 4 | -516 |
| 5 | -302 |
| 6 | -513 |
| 7 | -384 |
| 8 | -339 |
| 9 | -383 |
| 10 | -366 |
| 11 | -218 |
| 12 | -440 |